Record 1
First-principles (GGA-PBE) data for a geometry-optimized TaVPdN2 structure, as listed in the Alexandria database.

a = 3.973 Å, b = 5.104 Å, c = 3.973 Å
α = 90.00°, β = 90.00°, γ = 90.00°
Each line ends with the local moment (μB).
Positions (direct):
N1 0.500 0.000 0.000  0.00
N2 0.000 0.000 0.500  0.00
V1 0.500 0.500 0.500  -0.11
Pd1 0.000 0.500 0.000  0.00
Ta1 0.000 0.000 0.000  0.01

Values from the calculation:
- ΔE_f (raw) (eV per atom) = 0.75
- space-group type = No. 123
- V (A^3/atom) = 16.11

***

Record 2
First-principles (GGA-PBE) data for a geometry-optimized TaCdAg3 structure, as listed in the Alexandria database.

a = 5.198 Å, b = 5.198 Å, c = 5.198 Å
α = 90.00°, β = 90.00°, γ = 90.00°
Positions (direct):
Ag1 0.000 0.000 0.500
Ag2 0.500 0.000 0.000
Ag3 0.000 0.500 0.000
Cd1 0.500 0.500 0.500
Ta1 0.000 0.000 0.000

Values from the calculation:
- energy relative to the lowest polymorph listed for this composition (meV/atom) = 0.0
- space-group type = No. 221
- V (A^3/atom) = 28.09

***

Record 3
First-principles (GGA-PBE) data for a geometry-optimized Cr2SbPd9 structure, as listed in the Alexandria database.

a = 3.964 Å, b = 3.964 Å, c = 11.848 Å
α = 90.00°, β = 90.00°, γ = 90.00°
Each line ends with the local moment (μB).
Positions (direct):
Pd1 0.000 0.500 0.173  0.00
Pd2 0.500 0.500 0.664  -0.06
Pd3 0.000 0.500 0.500  -0.07
Pd4 0.500 0.500 0.000  0.01
Pd5 0.500 0.000 0.173  0.00
Pd6 0.000 0.500 0.827  0.00
Pd7 0.500 0.000 0.500  -0.07
Pd8 0.500 0.000 0.827  0.00
Pd9 0.500 0.500 0.336  -0.06
Sb1 0.000 0.000 0.000  0.01
Cr1 0.000 0.000 0.658  3.06
Cr2 0.000 0.000 0.342  3.06

Values from the calculation:
- ΔE_f (raw) (eV per atom) = -0.18
- space-group type = No. 123
- V (A^3/atom) = 15.52

***

Record 4
First-principles (GGA-PBE) data for a geometry-optimized ScMn3 structure, as listed in the Alexandria database.

a = 2.876 Å, b = 8.583 Å, c = 2.876 Å
α = 99.65°, β = 60.00°, γ = 99.65°
Each line ends with the local moment (μB).
Positions (direct):
Mn1 0.991 0.974 0.991  2.74
Mn2 0.509 0.526 0.509  2.74
Mn3 0.250 0.750 0.250  -2.72
Sc1 0.750 0.250 0.750  -0.37

Values from the calculation:
- space-group type = No. 166
- V (A^3/atom) = 15.08
- electronic total energy (eV per cell) = -32.5

***

Record 5
First-principles (GGA-PBE) data for a geometry-optimized CeDyTmZn structure, as listed in the Alexandria database.

a = 5.304 Å, b = 5.304 Å, c = 5.304 Å
α = 60.00°, β = 60.00°, γ = 60.00°
Each line ends with the local moment (μB).
Positions (direct):
Ce1 0.500 0.500 0.500  0.75
Zn1 0.250 0.250 0.250  -0.01
Dy1 0.000 0.000 0.000  0.20
Tm1 0.750 0.750 0.750  0.31

Values from the calculation:
- space-group type = No. 216
- V (A^3/atom) = 26.38
- electronic total energy (eV per cell) = -16.1

***

Record 6
First-principles (GGA-PBE) data for a geometry-optimized TlSBr3 structure, as listed in the Alexandria database.

a = 5.297 Å, b = 5.297 Å, c = 5.297 Å
α = 90.00°, β = 90.00°, γ = 90.00°
Positions (direct):
Tl1 0.500 0.500 0.500
Br1 0.000 0.500 0.000
Br2 0.000 0.000 0.500
Br3 0.500 0.000 0.000
S1 0.000 0.000 0.000

Values from the calculation:
- ΔE_f (raw) (eV per atom) = -0.21
- energy relative to the lowest polymorph listed for this composition (meV/atom) = 0.0
- space-group type = No. 221
- V (A^3/atom) = 29.73

***

Record 7
First-principles (GGA-PBE) data for a geometry-optimized CdW2I structure, as listed in the Alexandria database.

a = 4.701 Å, b = 4.701 Å, c = 4.701 Å
α = 60.00°, β = 60.00°, γ = 60.00°
Positions (direct):
W1 0.750 0.750 0.750
W2 0.250 0.250 0.250
I1 0.500 0.500 0.500
Cd1 0.000 0.000 0.000

Values from the calculation:
- ΔE_f (raw) (eV per atom) = 1.45
- energy relative to the lowest polymorph listed for this composition (meV/atom) = 79.6
- space-group type = No. 225
- V (A^3/atom) = 18.37

***

Record 8
First-principles (GGA-PBE) data for a geometry-optimized Sc2TlCrNi structure, as listed in the Alexandria database.

a = 5.366 Å, b = 4.725 Å, c = 5.366 Å
α = 90.00°, β = 90.00°, γ = 90.00°
Each line ends with the local moment (μB).
Positions (direct):
Tl1 0.000 0.000 0.000  0.02
Sc1 0.500 0.000 0.000  0.12
Sc2 0.000 0.000 0.500  0.09
Cr1 0.500 0.500 0.500  4.05
Ni1 0.000 0.500 0.000  0.08

Values from the calculation:
- space-group type = No. 123
- V (A^3/atom) = 27.21
- electronic total energy (eV per cell) = -25.3

***

Record 9
First-principles (GGA-PBE) data for a geometry-optimized Tm5TlZn2 structure, as listed in the Alexandria database.

a = 7.439 Å, b = 7.439 Å, c = 9.083 Å
α = 114.17°, β = 114.17°, γ = 90.00°
Positions (direct):
Tm1 0.500 0.500 0.000
Tm2 0.981 0.481 0.293
Tm3 0.312 0.812 0.293
Tm4 0.688 0.188 0.707
Tm5 0.019 0.519 0.707
Tm6 0.188 0.019 0.707
Tm7 0.812 0.981 0.293
Tm8 0.481 0.312 0.293
Tm9 0.519 0.688 0.707
Tm10 0.000 0.000 0.000
Zn1 0.123 0.377 0.000
Zn2 0.877 0.623 0.000
Zn3 0.377 0.877 0.000
Zn4 0.623 0.123 0.000
Tl1 0.250 0.250 0.500
Tl2 0.750 0.750 0.500

Values from the calculation:
- space-group type = No. 140
- V (A^3/atom) = 25.61
- electronic total energy (eV per cell) = -58.6

***

Record 10
First-principles (GGA-PBE) data for a geometry-optimized La3SmTl2 structure, as listed in the Alexandria database.

a = 5.119 Å, b = 9.291 Å, c = 9.715 Å
α = 118.57°, β = 105.28°, γ = 90.00°
Positions (direct):
Tl1 0.350 0.350 0.701
Tl2 0.650 0.150 0.299
Tl3 0.350 0.850 0.701
Tl4 0.650 0.650 0.299
Sm1 0.000 0.000 0.000
Sm2 0.000 0.500 0.000
La1 0.500 0.750 0.000
La2 0.819 0.569 0.639
La3 0.181 0.931 0.361
La4 0.181 0.431 0.361
La5 0.819 0.069 0.639
La6 0.500 0.250 0.000

Values from the calculation:
- energy relative to the lowest polymorph listed for this composition (meV/atom) = 44.4
- space-group type = No. 65
- V (A^3/atom) = 32.26

***

Record 11
First-principles (GGA-PBE) data for a geometry-optimized NaEu2Mg structure, as listed in the Alexandria database.

a = 5.900 Å, b = 5.900 Å, c = 5.900 Å
α = 60.00°, β = 60.00°, γ = 60.00°
Each line ends with the local moment (μB).
Positions (direct):
Na1 0.500 0.500 0.500  0.01
Eu1 0.250 0.250 0.250  6.99
Eu2 0.750 0.750 0.750  6.99
Mg1 0.000 0.000 0.000  0.01

Values from the calculation:
- energy relative to the lowest polymorph listed for this composition (meV/atom) = 26.1
- space-group type = No. 225
- V (A^3/atom) = 36.30

***

Record 12
First-principles (GGA-PBE) data for a geometry-optimized LaHf2Pb2 structure, as listed in the Alexandria database.

a = 4.454 Å, b = 4.454 Å, c = 7.664 Å
α = 73.11°, β = 73.11°, γ = 90.00°
Positions (direct):
Pb1 0.607 0.607 0.785
Pb2 0.393 0.393 0.215
Hf1 0.250 0.750 0.500
Hf2 0.750 0.250 0.500
La1 0.000 0.000 0.000

Values from the calculation:
- energy relative to the lowest polymorph listed for this composition (meV/atom) = 0.0
- space-group type = No. 139
- V (A^3/atom) = 27.73

***

no.,density (Mg/m³)
1,7.5
2,7.3
3,10.6
4,5.8
5,8.4
6,5.3
7,13.7
8,4.9
9,9.6
10,8.4
11,4.0
12,10.9